! NaLa4Pr3S8 | Alexandria | PBE | optimized geometry; values from VASP
! - Space-group type: R-3m (166)
! - N(E_F): 11.39 states/eV/f.u.
! - Spin magnetization: 0.0 μB per formula unit
! - Formation energy without anion corrections: -2.03 eV/atom
&SYSTEM
  ibrav = 0, nat = 16, ntyp = 4
/
ATOMIC_SPECIES
Na 22.99 Na.upf
La 138.91 La.upf
Pr 140.91 Pr.upf
S 32.06 S.upf
CELL_PARAMETERS angstrom
-3.803 -4.197 -6.045
-4.136 -4.365 5.633
-0.289 8.277 0.110
ATOMIC_POSITIONS angstrom
Na -2.068 -2.182 2.816
La -1.901 -2.099 -3.022
La -2.046 2.040 -2.967
La 0.000 0.000 0.000
La -0.144 4.139 0.055
Pr -3.970 -4.281 -0.206
Pr -4.114 -0.142 -0.151
Pr -2.213 1.956 2.871
S -4.321 3.967 2.818
S -4.174 -0.197 2.763
S -2.135 1.998 -0.044
S -6.233 1.857 -0.222
S -1.994 -2.141 -0.080
S -6.092 -2.282 -0.259
S -4.054 -0.087 -3.065
S -3.907 -4.252 -3.120

***

! Na3LaPr2S6 | Alexandria | PBE | optimized geometry; values from VASP
! - Space-group type: C2/m (12)
! - N(E_F): 0.00 states/eV/f.u.
! - Spin magnetization: 0.0 μB per formula unit
! - Formation energy without anion corrections: -1.81 eV/atom
&SYSTEM
  ibrav = 0, nat = 12, ntyp = 4
/
ATOMIC_SPECIES
Na 22.99 Na.upf
La 138.91 La.upf
Pr 140.91 Pr.upf
S 32.06 S.upf
CELL_PARAMETERS angstrom
7.254 -0.001 0.000
-3.626 6.283 0.000
-1.210 -2.095 6.679
ATOMIC_POSITIONS angstrom
Na -2.411 4.184 3.340
Na 4.829 0.003 3.340
Na 1.209 2.093 3.340
La 0.000 0.000 0.000
Pr 0.001 4.188 0.000
Pr 3.627 2.094 0.000
S 3.634 2.081 5.115
S 2.412 4.176 1.569
S -1.216 2.105 1.566
S -0.013 4.188 5.115
S 0.006 0.011 5.111
S 2.431 -0.001 1.566

***

! Na2LaPrS4 | Alexandria | PBE | optimized geometry; values from VASP
! - Space-group type: P2/m (10)
! - N(E_F): 0.00 states/eV/f.u.
! - Spin magnetization: 0.0 μB per formula unit
! - Formation energy without anion corrections: -1.82 eV/atom
&SYSTEM
  ibrav = 0, nat = 8, ntyp = 4
/
ATOMIC_SPECIES
Na 22.99 Na.upf
La 138.91 La.upf
Pr 140.91 Pr.upf
S 32.06 S.upf
CELL_PARAMETERS angstrom
4.199 0.000 0.000
0.000 7.272 0.120
0.000 -2.536 6.632
ATOMIC_POSITIONS angstrom
Na 2.100 -1.268 3.316
Na 0.000 2.368 3.376
La 0.000 0.000 0.000
Pr 2.100 3.636 0.060
S 2.100 1.200 1.584
S 2.100 3.536 5.169
S 0.000 -0.074 5.108
S 0.000 4.810 1.645

***

! NaLa2PrS4 | Alexandria | PBE | optimized geometry; values from VASP
! - Space-group type: P2/m (10)
! - N(E_F): 2.78 states/eV/f.u.
! - Spin magnetization: 0.0 μB per formula unit
! - Formation energy without anion corrections: -1.97 eV/atom
&SYSTEM
  ibrav = 0, nat = 8, ntyp = 4
/
ATOMIC_SPECIES
Na 22.99 Na.upf
La 138.91 La.upf
Pr 140.91 Pr.upf
S 32.06 S.upf
CELL_PARAMETERS angstrom
4.139 0.000 0.000
0.000 7.213 0.154
0.000 -2.513 6.636
ATOMIC_POSITIONS angstrom
Na 0.000 0.000 0.000
La 2.069 -1.256 3.318
La 0.000 2.350 3.395
Pr 2.069 3.606 0.077
S 2.069 1.184 1.704
S 2.069 3.516 5.086
S 0.000 -0.095 5.033
S 0.000 4.795 1.757

***

Theoretical density in g/cm3, matching the order above: 5.24 3.72 3.70 4.74